Th4Sb3Ir | Alexandria via LeMat-Bulk | GGA-PBE | optimized geometry; formation energy without anion corrections = -911 meV/atom; theoretical density = 9.92 g/cm3; E_tot = -7.2740 eV/atom
1.0
7.495 0.037 0.000
-2.590 7.407 0.000
0.000 0.000 8.944
Sb Th Ir
6 8 2
Direct
0.750 0.500 0.616
0.250 0.500 0.384
0.750 0.500 0.123
0.250 0.500 0.877
0.750 0.000 0.380
0.250 0.000 0.620
0.982 0.236 0.646
0.518 0.764 0.646
0.512 0.216 0.887
0.018 0.764 0.354
0.482 0.236 0.354
0.012 0.216 0.113
0.988 0.784 0.887
0.488 0.784 0.113
0.250 0.000 0.120
0.750 0.000 0.880